Record 1
The following is a GGA-PBE calculation of crystalline Ce2NdTc at its relaxed geometry, from Alexandria via LeMat-Bulk.

Geometry as POSCAR:
```
Ce2NdTc
1.0
3.451 0.000 0.000
0.000 3.451 0.000
0.000 0.000 8.783
Ce Nd Tc
2 1 1
Direct
0.000 0.000 0.195
0.000 0.000 0.805
0.500 0.500 0.500
0.500 0.500 0.000
```

Results
SG: P4/mmm, No. 123
DFT formation energy (eV per atom): 0.044


Record 2
The following is a GGA-PBE calculation of crystalline Pr3Ho4Cd at its relaxed geometry, from Alexandria via LeMat-Bulk.

Geometry as POSCAR:
```
Pr3Ho4Cd
1.0
3.628 0.000 0.000
0.000 3.628 0.000
0.000 0.000 19.247
Pr Ho Cd
3 4 1
Direct
0.000 0.000 0.000
0.000 0.000 0.265
0.000 0.000 0.735
0.500 0.500 0.132
0.500 0.500 0.396
0.500 0.500 0.604
0.500 0.500 0.868
0.000 0.000 0.500
```

Results
SG: P4/mmm, No. 123
DFT formation energy (eV per atom): -0.066


Record 3
The following is a GGA-PBE calculation of crystalline CaMoRuI2 at its relaxed geometry, from Alexandria via LeMat-Bulk.

Geometry as POSCAR:
```
CaMoRuI2
1.0
5.861 0.000 0.000
0.000 5.861 0.000
0.000 0.000 6.257
Ca Mo Ru I
1 1 1 2
Direct
0.000 0.000 0.000
0.000 0.000 0.500
0.500 0.500 0.500
0.000 0.500 0.000
0.500 0.000 0.000
```

Results
Uncorrected formation energy (meV per atom): 1584.7
SG: P4/mmm, No. 123


Record 4
The following is a GGA-PBE calculation of crystalline BaNi3N at its relaxed geometry, from Alexandria via LeMat-Bulk.

Geometry as POSCAR:
```
BaNi3N
1.0
4.146 0.000 0.000
0.000 4.146 0.000
0.000 0.000 4.146
Ba Ni N
1 3 1
Direct
0.000 0.000 0.000
0.000 0.500 0.500
0.500 0.000 0.500
0.500 0.500 0.000
0.500 0.500 0.500
```

Results
Uncorrected formation energy (meV per atom): 341.2
SG: Pm-3m, No. 221


Record 5
The following is a GGA-PBE calculation of crystalline BaYGa3 at its relaxed geometry, from Alexandria via LeMat-Bulk.

Geometry as POSCAR:
```
BaYGa3
1.0
5.618 0.000 0.000
0.000 5.618 0.000
0.000 0.000 5.618
Ba Y Ga
1 1 3
Direct
0.000 0.000 0.000
0.500 0.500 0.500
0.000 0.000 0.500
0.000 0.500 0.000
0.500 0.000 0.000
```

Results
SG: Pm-3m, No. 221
DFT formation energy (eV per atom): 0.846


Record 6
The following is a GGA-PBE calculation of crystalline YTm2H at its relaxed geometry, from Alexandria via LeMat-Bulk.

Geometry as POSCAR:
```
YTm2H
1.0
1.782 1.029 8.368
-1.782 1.029 8.368
0.000 -2.057 8.368
Y Tm H
1 2 1
Direct
0.000 0.000 0.000
0.220 0.220 0.220
0.780 0.780 0.780
0.500 0.500 0.500
```

Results
SG: R-3m, No. 166


Record 7
The following is a GGA-PBE calculation of crystalline Tb2Ho6Er5 at its relaxed geometry, from Alexandria via LeMat-Bulk.

Geometry as POSCAR:
```
Tb2Ho6Er5
1.0
11.520 0.000 0.000
0.000 19.972 0.000
0.000 0.000 3.543
Tb Ho Er
4 12 10
Direct
0.166 0.211 0.000
0.334 0.711 0.000
0.666 0.289 0.000
0.834 0.789 0.000
0.059 0.919 0.000
0.083 0.632 0.000
0.173 0.367 0.500
0.327 0.867 0.500
0.417 0.132 0.000
0.441 0.419 0.000
0.559 0.581 0.000
0.583 0.868 0.000
0.673 0.133 0.500
0.827 0.633 0.500
0.917 0.368 0.000
0.941 0.081 0.000
0.000 0.500 0.500
0.091 0.774 0.500
0.198 0.050 0.500
0.302 0.550 0.500
0.409 0.274 0.500
0.500 0.000 0.500
0.591 0.726 0.500
0.698 0.450 0.500
0.802 0.950 0.500
0.909 0.226 0.500
```

Results
SG: Pbam, No. 55
DFT formation energy (eV per atom): 0.099


Record 8
The following is a GGA-PBE calculation of crystalline Na2Ge3Au5 at its relaxed geometry, from Alexandria via LeMat-Bulk.

Geometry as POSCAR:
```
Na2Ge3Au5
1.0
-5.216 6.670 3.035
5.216 -6.670 3.035
5.216 6.670 -3.035
Na Ge Au
4 6 10
Direct
0.141 0.233 0.374
0.359 0.733 0.092
0.641 0.267 0.908
0.859 0.767 0.626
0.144 0.904 0.048
0.250 0.750 0.500
0.356 0.404 0.761
0.644 0.596 0.239
0.750 0.250 0.500
0.856 0.096 0.952
0.033 0.750 0.283
0.090 0.675 0.764
0.250 0.250 0.000
0.410 0.175 0.585
0.467 0.750 0.717
0.533 0.250 0.283
0.590 0.825 0.415
0.750 0.750 0.000
0.910 0.325 0.236
0.967 0.250 0.717
```

Results
SG: Ibam, No. 72
DFT formation energy (eV per atom): -0.187


Respective calculated total energy values: -6.706; -4.261; -3.457; -5.177; -2.647; -4.882; -4.481; -3.475 eV per atom.
Respective Fermi-level density of states values: 9.6; 9.9; 6.1; 4.7; 9.8; 3.1; 30.8; 3.9 states/eV/cell.
Respective total moment values: 0.001; 0.000; 8.597; 1.000; 0.093; 0.000; 0.000; 0.000 μB per formula unit.